VASP calculation (PBE-GGA) on crystalline BaAs2P at its relaxed geometry.

Unit cell a=5.413 b=5.413 c=5.413 alpha=126.90 beta=126.90 gamma=78.41
Fractional coordinates of all 4 atoms:
As (0.000, 0.000, 0.000)
Ba (0.500, 0.500, 0.000)
P (0.750, 0.250, 0.500)
As (0.250, 0.750, 0.500)

Properties
* volume: 24.6 A^3/atom
* energy of formation from the pure elements: 27 meV per atom

VASP calculation (PBE-GGA) on crystalline Ba8As2P3 at its relaxed geometry.

Unit cell a=5.563 b=11.251 c=9.744 alpha=125.26 beta=90.00 gamma=90.00
Fractional coordinates of all 13 atoms:
As (0.500, 0.738, 0.476)
P (0.000, 0.729, 0.000)
Ba (0.500, 0.350, 0.239)
Ba (0.000, 0.375, 0.749)
Ba (0.500, 0.889, 0.239)
Ba (0.500, 0.650, 0.761)
Ba (0.500, 0.111, 0.761)
Ba (0.000, 0.625, 0.251)
Ba (0.000, 0.889, 0.779)
P (0.500, 0.000, 0.000)
Ba (0.000, 0.111, 0.221)
As (0.500, 0.262, 0.524)
P (0.000, 0.271, 0.000)

Properties
* volume: 38.3 A^3/atom
* energy of formation from the pure elements: -940 meV per atom

VASP calculation (PBE-GGA) on crystalline BaAs2P at its relaxed geometry.

Unit cell a=5.877 b=5.877 c=5.877 alpha=144.21 beta=120.51 gamma=71.41
Fractional coordinates of all 4 atoms:
As (0.018, 0.018, 0.000)
P (0.192, 0.692, 0.500)
Ba (0.491, 0.491, 0.000)
As (0.800, 0.300, 0.500)

Properties
* volume: 25.1 A^3/atom
* energy of formation from the pure elements: -197 meV per atom

VASP calculation (PBE-GGA) on crystalline BaAsP2 at its relaxed geometry.

Unit cell a=5.957 b=5.957 c=5.957 alpha=137.56 beta=137.56 gamma=61.58
Fractional coordinates of all 4 atoms:
Ba (0.750, 0.250, 0.500)
As (0.500, 0.500, 0.000)
P (0.250, 0.750, 0.500)
P (0.000, 0.000, 0.000)

Properties
* volume: 23.8 A^3/atom
* energy of formation from the pure elements: 162 meV per atom

VASP calculation (PBE-GGA) on crystalline BaAsP2 at its relaxed geometry.

Unit cell a=5.248 b=5.248 c=5.248 alpha=124.97 beta=105.37 gamma=99.31
Fractional coordinates of all 4 atoms:
P (0.593, 0.593, 0.000)
As (0.750, 0.250, 0.500)
P (0.907, 0.907, 0.000)
Ba (0.250, 0.750, 0.500)

Properties
* volume: 26.2 A^3/atom
* energy of formation from the pure elements: -371 meV per atom

VASP calculation (PBE-GGA) on crystalline BaAs2P at its relaxed geometry.

Unit cell a=3.818 b=4.041 c=6.380 alpha=90.00 beta=90.00 gamma=90.00
Fractional coordinates of all 4 atoms:
As (0.000, 0.000, 0.935)
As (0.000, 0.000, 0.565)
Ba (0.500, 0.500, 0.250)
P (0.500, 0.500, 0.750)

Properties
* volume: 24.6 A^3/atom
* energy of formation from the pure elements: -61 meV per atom